# Sr2ZnCd12Ag3 | Alexandria via LeMat-Bulk | PBE | relaxed
data_Sr2ZnCd12Ag3
_chemical_formula_sum 'Sr6 Zn3 Cd36 Ag9'
_symmetry_space_group_name_H-M 'R -3 m'
_symmetry_Int_Tables_number 166
_symmetry_space_group_name_Hall '-R 3 2"'
_cell_length_a 6.1341
_cell_length_b 6.1341
_cell_length_c 41.8483
_cell_angle_alpha 90.00
_cell_angle_beta 90.00
_cell_angle_gamma 120.00
loop_
_atom_site_label
_atom_site_type_symbol
_atom_site_fract_x
_atom_site_fract_y
_atom_site_fract_z
Sr1 Sr 0.0000 0.0000 0.1465
Zn1 Zn 0.0000 0.0000 0.5000
Cd1 Cd 0.0002 0.5001 0.1115
Cd2 Cd 0.0153 0.5076 0.6136
Ag1 Ag 0.0000 0.5000 0.0000
# calculated volume: 1363.68 Å³ per cell
# energy of formation from the pure elements: -0.03 eV/atom

=====

# NdLuAlAu | Alexandria via LeMat-Bulk | PBE | relaxed
data_NdLuAlAu
_chemical_formula_sum 'Nd4 Lu4 Al4 Au4'
_symmetry_space_group_name_H-M 'F -4 3 m'
_symmetry_Int_Tables_number 216
_symmetry_space_group_name_Hall 'F -4 2 3'
_cell_length_a 7.313
_cell_length_b 7.313
_cell_length_c 7.313
_cell_angle_alpha 90.00
_cell_angle_beta 90.00
_cell_angle_gamma 90.00
loop_
_atom_site_label
_atom_site_type_symbol
_atom_site_fract_x
_atom_site_fract_y
_atom_site_fract_z
Nd1 Nd 0.000 0.000 0.000
Lu1 Lu 0.000 0.000 0.500
Al1 Al 0.250 0.250 0.250
Au1 Au 0.250 0.250 0.750
# calculated volume: 391.16 Å³ per cell
# energy of formation from the pure elements: -0.52 eV/atom

=====

# NbSn2Br2 | Alexandria via LeMat-Bulk | PBE | relaxed
data_NbSn2Br2
_chemical_formula_sum 'Nb2 Sn4 Br4'
_symmetry_space_group_name_H-M 'I 4/m m m'
_symmetry_Int_Tables_number 139
_symmetry_space_group_name_Hall '-I 4 2'
_cell_length_a 3.811
_cell_length_b 3.811
_cell_length_c 20.609
_cell_angle_alpha 90.00
_cell_angle_beta 90.00
_cell_angle_gamma 90.00
loop_
_atom_site_label
_atom_site_type_symbol
_atom_site_fract_x
_atom_site_fract_y
_atom_site_fract_z
Nb1 Nb 0.000 0.000 0.000
Sn1 Sn 0.000 0.000 0.430
Br1 Br 0.000 0.500 0.250
# calculated volume: 299.40 Å³ per cell
# uncorrected formation energy: 0.436 eV/atom
# ΔE to the lowest computed polymorph: 131 meV per atom

=====

# BaAgTeSe3 | Alexandria via LeMat-Bulk | PBE | relaxed
data_BaAgTeSe3
_chemical_formula_sum 'Ba2 Ag2 Te2 Se6'
_symmetry_space_group_name_H-M 'P 1 21/m 1'
_symmetry_Int_Tables_number 11
_cell_length_a 8.308
_cell_length_b 4.676
_cell_length_c 9.518
_cell_angle_alpha 90.00
_cell_angle_beta 105.23
_cell_angle_gamma 90.00
loop_
_symmetry_equiv_pos_as_xyz
'x,y,z'
'-x,-y,-z'
'-x,y+1/2,-z'
'x,-y+1/2,z'
loop_
_atom_site_label
_atom_site_type_symbol
_atom_site_fract_x
_atom_site_fract_y
_atom_site_fract_z
Ba1 Ba 0.226 0.250 0.275
Ag1 Ag 0.088 0.250 0.591
Te1 Te 0.292 0.750 0.882
Se1 Se 0.115 0.250 0.888
Se2 Se 0.250 0.750 0.535
Se3 Se 0.439 0.750 0.157
# calculated volume: 356.79 Å³ per cell
# uncorrected formation energy: -0.641 eV/atom

=====

# TaInTe2 | Alexandria via LeMat-Bulk | PBE | relaxed
data_TaInTe2
_chemical_formula_sum 'Ta2 In2 Te4'
_symmetry_space_group_name_H-M 'I -4 m 2'
_symmetry_Int_Tables_number 119
_symmetry_space_group_name_Hall 'I -4 -2'
_cell_length_a 4.445
_cell_length_b 4.445
_cell_length_c 9.820
_cell_angle_alpha 90.00
_cell_angle_beta 90.00
_cell_angle_gamma 90.00
loop_
_atom_site_label
_atom_site_type_symbol
_atom_site_fract_x
_atom_site_fract_y
_atom_site_fract_z
Ta1 Ta 0.000 0.000 0.000
In1 In 0.000 0.500 0.250
Te1 Te 0.000 0.000 0.500
Te2 Te 0.000 0.500 0.750
# calculated volume: 193.99 Å³ per cell
# uncorrected formation energy: 0.565 eV/atom

=====

# SrAg2Pt2 | Alexandria via LeMat-Bulk | PBE | relaxed
data_SrAg2Pt2
_chemical_formula_sum 'Sr2 Ag4 Pt4'
_symmetry_space_group_name_H-M 'I 4/m m m'
_symmetry_Int_Tables_number 139
_symmetry_space_group_name_Hall '-I 4 2'
_cell_length_a 4.198
_cell_length_b 4.198
_cell_length_c 12.410
_cell_angle_alpha 90.00
_cell_angle_beta 90.00
_cell_angle_gamma 90.00
loop_
_atom_site_label
_atom_site_type_symbol
_atom_site_fract_x
_atom_site_fract_y
_atom_site_fract_z
Sr1 Sr 0.000 0.000 0.000
Ag1 Ag 0.000 0.500 0.250
Pt1 Pt 0.000 0.000 0.398
# calculated volume: 218.72 Å³ per cell
# energy of formation from the pure elements: -0.33 eV/atom
# ΔE to the lowest computed polymorph: 0 meV per atom

=====

# CePm7Ir4 | Alexandria via LeMat-Bulk | PBE | relaxed
data_CePm7Ir4
_chemical_formula_sum 'Ce2 Pm14 Ir8'
_symmetry_space_group_name_H-M 'C 1 2/m 1'
_symmetry_Int_Tables_number 12
_cell_length_a 14.144
_cell_length_b 5.358
_cell_length_c 10.638
_cell_angle_alpha 90.00
_cell_angle_beta 127.68
_cell_angle_gamma 90.00
loop_
_symmetry_equiv_pos_as_xyz
'x,y,z'
'-x,-y,-z'
'-x,y,-z'
'x,-y,z'
'x+1/2,y+1/2,z'
'-x+1/2,-y+1/2,-z'
'-x+1/2,y+1/2,-z'
'x+1/2,-y+1/2,z'
loop_
_atom_site_label
_atom_site_type_symbol
_atom_site_fract_x
_atom_site_fract_y
_atom_site_fract_z
Ce1 Ce 0.000 0.000 0.000
Pm1 Pm 0.000 0.500 0.000
Pm2 Pm 0.099 0.000 0.372
Pm3 Pm 0.158 0.500 0.617
Pm4 Pm 0.206 0.000 0.869
Ir1 Ir 0.065 0.500 0.785
Ir2 Ir 0.206 0.500 0.318
# calculated volume: 638.06 Å³ per cell
# energy of formation from the pure elements: -0.29 eV/atom

=====

# MgCoSi2 | Alexandria via LeMat-Bulk | PBE | relaxed
data_MgCoSi2
_chemical_formula_sum 'Mg2 Co2 Si4'
_symmetry_space_group_name_H-M 'C 1 m 1'
_symmetry_Int_Tables_number 8
_cell_length_a 7.906
_cell_length_b 2.769
_cell_length_c 6.220
_cell_angle_alpha 90.00
_cell_angle_beta 108.71
_cell_angle_gamma 90.00
loop_
_symmetry_equiv_pos_as_xyz
'x,y,z'
'x,-y,z'
'x+1/2,y+1/2,z'
'x+1/2,-y+1/2,z'
loop_
_atom_site_label
_atom_site_type_symbol
_atom_site_fract_x
_atom_site_fract_y
_atom_site_fract_z
Mg1 Mg 0.000 0.000 0.000
Co1 Co 0.154 0.500 0.386
Si1 Si 0.194 0.000 0.692
Si2 Si 0.366 0.000 0.353
# calculated volume: 128.98 Å³ per cell
# uncorrected formation energy: -0.104 eV/atom

=====

# TaTiNi14 | Alexandria via LeMat-Bulk | PBE | relaxed
data_TaTiNi14
_chemical_formula_sum 'Ta1 Ti1 Ni14'
_symmetry_space_group_name_H-M 'P 4/m m m'
_symmetry_Int_Tables_number 123
_symmetry_space_group_name_Hall '-P 4 2'
_cell_length_a 5.083
_cell_length_b 5.083
_cell_length_c 7.124
_cell_angle_alpha 90.00
_cell_angle_beta 90.00
_cell_angle_gamma 90.00
loop_
_atom_site_label
_atom_site_type_symbol
_atom_site_fract_x
_atom_site_fract_y
_atom_site_fract_z
Ta1 Ta 0.000 0.000 0.000
Ti1 Ti 0.500 0.500 0.000
Ni1 Ni 0.000 0.000 0.500
Ni2 Ni 0.000 0.500 0.000
Ni3 Ni 0.000 0.500 0.500
Ni4 Ni 0.251 0.251 0.256
Ni5 Ni 0.500 0.500 0.500
# calculated volume: 184.05 Å³ per cell
# energy of formation from the pure elements: -0.18 eV/atom

=====

# Pr8Ir3SeCl4 | Alexandria via LeMat-Bulk | PBE | relaxed
data_Pr8Ir3SeCl4
_chemical_formula_sum 'Pr24 Ir9 Se3 Cl12'
_symmetry_space_group_name_H-M 'R -3 m'
_symmetry_Int_Tables_number 166
_symmetry_space_group_name_Hall '-R 3 2"'
_cell_length_a 8.4758
_cell_length_b 8.4758
_cell_length_c 22.1712
_cell_angle_alpha 90.00
_cell_angle_beta 90.00
_cell_angle_gamma 120.00
loop_
_atom_site_label
_atom_site_type_symbol
_atom_site_fract_x
_atom_site_fract_y
_atom_site_fract_z
Pr1 Pr 0.0000 0.0000 0.2346
Pr2 Pr 0.0187 0.5093 0.7628
Ir1 Ir 0.0000 0.5000 0.5000
Se1 Se 0.0000 0.0000 0.5000
Cl1 Cl 0.0000 0.0000 0.0000
Cl2 Cl 0.0000 0.5000 0.0000
# calculated volume: 1379.35 Å³ per cell
# uncorrected formation energy: -1.270 eV/atom

=====

# La2SmY5Th | Alexandria via LeMat-Bulk | PBE | relaxed
data_La2SmY5Th
_chemical_formula_sum 'La8 Sm4 Y20 Th4'
_symmetry_space_group_name_H-M 'I 4/m c m'
_symmetry_Int_Tables_number 140
_symmetry_space_group_name_Hall '-I 4 2c'
_cell_length_a 8.746
_cell_length_b 8.746
_cell_length_c 15.737
_cell_angle_alpha 90.00
_cell_angle_beta 90.00
_cell_angle_gamma 90.00
loop_
_atom_site_label
_atom_site_type_symbol
_atom_site_fract_x
_atom_site_fract_y
_atom_site_fract_z
La1 La 0.117 0.383 0.000
Sm1 Sm 0.000 0.500 0.250
Y1 Y 0.000 0.000 0.000
Y2 Y 0.215 0.285 0.359
Th1 Th 0.000 0.000 0.250
# calculated volume: 1203.66 Å³ per cell
# energy of formation from the pure elements: 0.27 eV/atom

=====

# Ba6Pr2MgRu4O18 | Alexandria via LeMat-Bulk | PBE | relaxed
data_Ba6Pr2MgRu4O18
_chemical_formula_sum 'Ba12 Pr4 Mg2 Ru8 O36'
_symmetry_space_group_name_H-M 'C 1 2/m 1'
_symmetry_Int_Tables_number 12
_cell_length_a 10.467
_cell_length_b 6.123
_cell_length_c 15.246
_cell_angle_alpha 90.00
_cell_angle_beta 93.41
_cell_angle_gamma 90.00
loop_
_symmetry_equiv_pos_as_xyz
'x,y,z'
'-x,-y,-z'
'-x,y,-z'
'x,-y,z'
'x+1/2,y+1/2,z'
'-x+1/2,-y+1/2,-z'
'-x+1/2,y+1/2,-z'
'x+1/2,-y+1/2,z'
loop_
_atom_site_label
_atom_site_type_symbol
_atom_site_fract_x
_atom_site_fract_y
_atom_site_fract_z
Ba1 Ba 0.021 0.000 0.240
Ba2 Ba 0.174 0.500 0.089
Ba3 Ba 0.203 0.500 0.361
Pr1 Pr 0.000 0.000 0.000
Pr2 Pr 0.000 0.000 0.500
Mg1 Mg 0.000 0.500 0.500
Ru1 Ru 0.152 0.500 0.837
Ru2 Ru 0.168 0.500 0.672
O1 O 0.007 0.500 0.742
O2 O 0.065 0.269 0.903
O3 O 0.085 0.282 0.585
O4 O 0.174 0.000 0.396
O5 O 0.203 0.000 0.073
O6 O 0.241 0.270 0.763
# calculated volume: 975.48 Å³ per cell
# uncorrected formation energy: -2.091 eV/atom

=====

# Tb2PmSm2Ho | Alexandria via LeMat-Bulk | PBE | relaxed
data_Tb2PmSm2Ho
_chemical_formula_sum 'Tb4 Pm2 Sm4 Ho2'
_symmetry_space_group_name_H-M 'P n n m'
_symmetry_Int_Tables_number 58
_cell_length_a 6.589
_cell_length_b 17.956
_cell_length_c 3.411
_cell_angle_alpha 90.00
_cell_angle_beta 90.00
_cell_angle_gamma 90.00
loop_
_symmetry_equiv_pos_as_xyz
'x,y,z'
'-x,-y,-z'
'-x,-y,z'
'x,y,-z'
'x+1/2,-y+1/2,-z+1/2'
'-x+1/2,y+1/2,z+1/2'
'-x+1/2,y+1/2,-z+1/2'
'x+1/2,-y+1/2,z+1/2'
loop_
_atom_site_label
_atom_site_type_symbol
_atom_site_fract_x
_atom_site_fract_y
_atom_site_fract_z
Tb1 Tb 0.223 0.147 0.000
Pm1 Pm 0.000 0.500 0.500
Sm1 Sm 0.226 0.314 0.500
Ho1 Ho 0.000 0.000 0.500
# calculated volume: 403.53 Å³ per cell
# energy of formation from the pure elements: 0.26 eV/atom

=====

# ScNb3Pd | Alexandria via LeMat-Bulk | PBE | relaxed
data_ScNb3Pd
_chemical_formula_sum 'Sc1 Nb3 Pd1'
_symmetry_space_group_name_H-M 'P m -3 m'
_symmetry_Int_Tables_number 221
_symmetry_space_group_name_Hall '-P 4 2 3'
_cell_length_a 4.891
_cell_length_b 4.891
_cell_length_c 4.891
_cell_angle_alpha 90.00
_cell_angle_beta 90.00
_cell_angle_gamma 90.00
loop_
_atom_site_label
_atom_site_type_symbol
_atom_site_fract_x
_atom_site_fract_y
_atom_site_fract_z
Sc1 Sc 0.000 0.000 0.000
Nb1 Nb 0.000 0.500 0.500
Pd1 Pd 0.500 0.500 0.500
# calculated volume: 116.98 Å³ per cell
# energy of formation from the pure elements: 1.04 eV/atom
# ΔE to the lowest computed polymorph: 0 meV per atom

=====

# Mg2CoMo | Alexandria via LeMat-Bulk | PBE | relaxed
data_Mg2CoMo
_chemical_formula_sum 'Mg4 Co2 Mo2'
_symmetry_space_group_name_H-M 'C 1 m 1'
_symmetry_Int_Tables_number 8
_cell_length_a 8.804
_cell_length_b 2.792
_cell_length_c 5.263
_cell_angle_alpha 90.00
_cell_angle_beta 98.00
_cell_angle_gamma 90.00
loop_
_symmetry_equiv_pos_as_xyz
'x,y,z'
'x,-y,z'
'x+1/2,y+1/2,z'
'x+1/2,-y+1/2,z'
loop_
_atom_site_label
_atom_site_type_symbol
_atom_site_fract_x
_atom_site_fract_y
_atom_site_fract_z
Mg1 Mg 0.000 0.000 0.000
Mg2 Mg 0.235 0.000 0.737
Co1 Co 0.499 0.000 0.443
Mo1 Mo 0.258 0.500 0.278
# calculated volume: 128.13 Å³ per cell
# energy of formation from the pure elements: 0.32 eV/atom
# ΔE to the lowest computed polymorph: 209 meV per atom

=====

# Pr8Hg2Os | Alexandria via LeMat-Bulk | PBE | relaxed
data_Pr8Hg2Os
_chemical_formula_sum 'Pr16 Hg4 Os2'
_symmetry_space_group_name_H-M 'C 1 2/m 1'
_symmetry_Int_Tables_number 12
_cell_length_a 18.486
_cell_length_b 5.333
_cell_length_c 7.145
_cell_angle_alpha 90.00
_cell_angle_beta 103.26
_cell_angle_gamma 90.00
loop_
_symmetry_equiv_pos_as_xyz
'x,y,z'
'-x,-y,-z'
'-x,y,-z'
'x,-y,z'
'x+1/2,y+1/2,z'
'-x+1/2,-y+1/2,-z'
'-x+1/2,y+1/2,-z'
'x+1/2,-y+1/2,z'
loop_
_atom_site_label
_atom_site_type_symbol
_atom_site_fract_x
_atom_site_fract_y
_atom_site_fract_z
Pr1 Pr 0.022 0.000 0.287
Pr2 Pr 0.088 0.500 0.931
Pr3 Pr 0.153 0.500 0.461
Pr4 Pr 0.201 0.000 0.807
Hg1 Hg 0.188 0.000 0.231
Os1 Os 0.000 0.500 0.500
# calculated volume: 685.65 Å³ per cell
# energy of formation from the pure elements: -0.16 eV/atom
# ΔE to the lowest computed polymorph: 0 meV per atom

=====

# CsBeAs2Se | Alexandria via LeMat-Bulk | PBE | relaxed
data_CsBeAs2Se
_chemical_formula_sum 'Cs1 Be1 As2 Se1'
_symmetry_space_group_name_H-M 'P 4/m m m'
_symmetry_Int_Tables_number 123
_symmetry_space_group_name_Hall '-P 4 2'
_cell_length_a 6.448
_cell_length_b 6.448
_cell_length_c 5.852
_cell_angle_alpha 90.00
_cell_angle_beta 90.00
_cell_angle_gamma 90.00
loop_
_atom_site_label
_atom_site_type_symbol
_atom_site_fract_x
_atom_site_fract_y
_atom_site_fract_z
Cs1 Cs 0.000 0.000 0.000
Be1 Be 0.500 0.500 0.500
As1 As 0.000 0.500 0.000
Se1 Se 0.000 0.000 0.500
# calculated volume: 243.33 Å³ per cell
# uncorrected formation energy: 1.962 eV/atom
# ΔE to the lowest computed polymorph: 1782 meV per atom

=====

# YTc3W | Alexandria via LeMat-Bulk | PBE | relaxed
data_YTc3W
_chemical_formula_sum 'Y1 Tc3 W1'
_symmetry_space_group_name_H-M 'P m -3 m'
_symmetry_Int_Tables_number 221
_symmetry_space_group_name_Hall '-P 4 2 3'
_cell_length_a 4.742
_cell_length_b 4.742
_cell_length_c 4.742
_cell_angle_alpha 90.00
_cell_angle_beta 90.00
_cell_angle_gamma 90.00
loop_
_atom_site_label
_atom_site_type_symbol
_atom_site_fract_x
_atom_site_fract_y
_atom_site_fract_z
Y1 Y 0.000 0.000 0.000
Tc1 Tc 0.000 0.500 0.500
W1 W 0.500 0.500 0.500
# calculated volume: 106.62 Å³ per cell
# energy of formation from the pure elements: 1.00 eV/atom
# ΔE to the lowest computed polymorph: 0 meV per atom

=====

# ErZnGa4 | Alexandria via LeMat-Bulk | PBE | relaxed
data_ErZnGa4
_chemical_formula_sum 'Er4 Zn4 Ga16'
_symmetry_space_group_name_H-M 'F -4 3 m'
_symmetry_Int_Tables_number 216
_symmetry_space_group_name_Hall 'F -4 2 3'
_cell_length_a 7.727
_cell_length_b 7.727
_cell_length_c 7.727
_cell_angle_alpha 90.00
_cell_angle_beta 90.00
_cell_angle_gamma 90.00
loop_
_atom_site_label
_atom_site_type_symbol
_atom_site_fract_x
_atom_site_fract_y
_atom_site_fract_z
Er1 Er 0.000 0.000 0.000
Zn1 Zn 0.250 0.250 0.250
Ga1 Ga 0.125 0.125 0.625
# calculated volume: 461.29 Å³ per cell
# energy of formation from the pure elements: -0.17 eV/atom
# ΔE to the lowest computed polymorph: 145 meV per atom

=====

# HfTlBi3 | Alexandria via LeMat-Bulk | PBE | relaxed
data_HfTlBi3
_chemical_formula_sum 'Hf1 Tl1 Bi3'
_symmetry_space_group_name_H-M 'P m -3 m'
_symmetry_Int_Tables_number 221
_symmetry_space_group_name_Hall '-P 4 2 3'
_cell_length_a 5.693
_cell_length_b 5.693
_cell_length_c 5.693
_cell_angle_alpha 90.00
_cell_angle_beta 90.00
_cell_angle_gamma 90.00
loop_
_atom_site_label
_atom_site_type_symbol
_atom_site_fract_x
_atom_site_fract_y
_atom_site_fract_z
Hf1 Hf 0.000 0.000 0.000
Tl1 Tl 0.500 0.500 0.500
Bi1 Bi 0.000 0.000 0.500
# calculated volume: 184.48 Å³ per cell
# energy of formation from the pure elements: 0.18 eV/atom
# ΔE to the lowest computed polymorph: 0 meV per atom

=====

Calculated values (eV per cell) of final energy for the records, taken in order: -74.15 -73.60 -38.49 -44.43 -37.23 -42.18 -156.11 -39.92 -103.64 -288.01 -207.51 -427.72 -52.90 -36.55 -39.69 -103.77 -7.55 -45.53 -75.77 -23.04.